Entry 1:
Here is a relaxed structure of TbNdRh from the Alexandria database. Energies are from PBE-GGA.

Unit cell a=4.0764 b=4.0764 c=6.2982 alpha=90.00 beta=90.00 gamma=120.00
Space group P3m1 (No. 156)
Asymmetric unit:
Tb1 0.0000 0.0000 0.0000
Nd1 0.3333 0.6667 0.5202
Rh1 0.6667 0.3333 0.7703

Summary:
DFT formation energy = -472.2 meV per atom
Relative energy among the computed polymorphs = 0.0457 eV/atom
Final energy = -18.166 eV per cell
Total moment = 0.000 μB/cell
D(E_F) = 2.81 states/eV/f.u.


Entry 2:
Here is a relaxed structure of TbNdRh2 from the Alexandria database. Energies are from PBE-GGA.

Unit cell a=12.5869 b=5.5157 c=5.8280 alpha=90.00 beta=116.57 gamma=90.00
Space group C2/m (No. 12)
Asymmetric unit:
Tb1 0.1396 0.0000 0.4438
Nd1 0.1388 0.5000 0.8346
Rh1 0.0984 0.0000 0.9211
Rh2 0.1075 0.5000 0.2901

Summary:
DFT formation energy = -581.1 meV per atom
Final energy = -105.702 eV per cell
Total moment = 0.000 μB/cell
D(E_F) = 1.54 states/eV/f.u.


Entry 3:
Here is a relaxed structure of Tb2NdRh3 from the Alexandria database. Energies are from PBE-GGA.

Unit cell a=3.4669 b=3.4669 c=10.4815 alpha=90.00 beta=90.00 gamma=90.00
Space group P4/mmm (No. 123)
Asymmetric unit:
Tb1 0.0000 0.0000 0.1638
Nd1 0.0000 0.0000 0.5000
Rh1 0.5000 0.5000 0.0000
Rh2 0.5000 0.5000 0.3238

Summary:
DFT formation energy = -768.1 meV per atom
Relative energy among the computed polymorphs = 0.0029 eV/atom
Final energy = -40.691 eV per cell
Total moment = 0.000 μB/cell
D(E_F) = 4.31 states/eV/f.u.


Entry 4:
Here is a relaxed structure of TbNdRh from the Alexandria database. Energies are from PBE-GGA.

Unit cell a=6.9803 b=6.0653 c=10.4161 alpha=90.00 beta=128.75 gamma=90.00
Space group P2_1/c (No. 14)
Asymmetric unit:
Tb1 0.1645 0.1182 0.3691
Nd1 0.3142 0.6337 0.6161
Rh1 0.1653 0.1686 0.6351

Summary:
DFT formation energy = -479.7 meV per atom
Relative energy among the computed polymorphs = 0.0382 eV/atom
Final energy = -72.754 eV per cell
Total moment = 0.000 μB/cell
D(E_F) = 2.84 states/eV/f.u.


Entry 5:
Here is a relaxed structure of Tb2NdRh3 from the Alexandria database. Energies are from PBE-GGA.

Unit cell a=4.9149 b=4.9149 c=6.0197 alpha=90.00 beta=90.00 gamma=120.00
Space group P-3m1 (No. 164)
Asymmetric unit:
Tb1 0.3333 0.6667 0.1642
Nd1 0.0000 0.0000 0.5000
Rh1 0.0000 0.0000 0.0000
Rh2 0.3333 0.6667 0.6751

Summary:
DFT formation energy = -771.0 meV per atom
Relative energy among the computed polymorphs = 0.0000 eV/atom
Final energy = -40.709 eV per cell
Total moment = 0.000 μB/cell
D(E_F) = 4.79 states/eV/f.u.


Entry 6:
Here is a relaxed structure of TbNd2Rh from the Alexandria database. Energies are from PBE-GGA.

Unit cell a=3.6153 b=3.6153 c=8.7316 alpha=90.00 beta=90.00 gamma=90.00
Space group P4/mmm (No. 123)
Asymmetric unit:
Tb1 0.0000 0.0000 0.0000
Nd1 0.5000 0.5000 0.3081
Rh1 0.0000 0.0000 0.5000

Summary:
DFT formation energy = -264.2 meV per atom
Relative energy among the computed polymorphs = 0.1823 eV/atom
Final energy = -22.574 eV per cell
Total moment = 0.000 μB/cell
D(E_F) = 5.69 states/eV/f.u.


Entry 7:
Here is a relaxed structure of TbNd3Rh from the Alexandria database. Energies are from PBE-GGA.

Unit cell a=5.5740 b=5.5740 c=5.5740 alpha=90.00 beta=90.00 gamma=90.00
Space group Pm-3m (No. 221)
Asymmetric unit:
Tb1 0.0000 0.0000 0.0000
Nd1 0.0000 0.5000 0.5000
Rh1 0.5000 0.5000 0.5000

Summary:
DFT formation energy = -105.8 meV per atom
Relative energy among the computed polymorphs = 0.1973 eV/atom
Final energy = -26.814 eV per cell
Total moment = 0.746 μB/cell
D(E_F) = 9.29 states/eV/f.u.


Entry 8:
Here is a relaxed structure of TbNd2Rh from the Alexandria database. Energies are from PBE-GGA.

Unit cell a=7.2924 b=9.9552 c=6.3770 alpha=90.00 beta=90.00 gamma=90.00
Space group Pnma (No. 62)
Asymmetric unit:
Tb1 0.0369 0.2500 0.1501
Nd1 0.1779 0.0657 0.6696
Rh1 0.1225 0.7500 0.4440

Summary:
DFT formation energy = -446.5 meV per atom
Relative energy among the computed polymorphs = 0.0000 eV/atom
Final energy = -93.213 eV per cell
Total moment = 0.000 μB/cell
D(E_F) = 4.48 states/eV/f.u.


Entry 9:
Here is a relaxed structure of TbNd2Rh from the Alexandria database. Energies are from PBE-GGA.

Unit cell a=6.7380 b=6.4582 c=11.5392 alpha=90.00 beta=90.00 gamma=90.00
Space group Pnna (No. 52)
Asymmetric unit:
Tb1 0.0707 0.2500 0.2500
Nd1 0.0901 0.2432 0.5865
Rh1 0.2500 0.0000 0.0896

Summary:
DFT formation energy = -356.1 meV per atom
Relative energy among the computed polymorphs = 0.0903 eV/atom
Final energy = -91.768 eV per cell
Total moment = 0.000 μB/cell
D(E_F) = 3.72 states/eV/f.u.


Entry 10:
Here is a relaxed structure of TbNd2Rh9 from the Alexandria database. Energies are from PBE-GGA.

Unit cell a=5.2969 b=5.2969 c=26.6633 alpha=90.00 beta=90.00 gamma=120.00
Space group R-3m (No. 166, hexagonal axes)
Asymmetric unit:
Tb1 0.0000 0.0000 0.0000
Nd1 0.0000 0.0000 0.1386
Rh1 0.0000 0.0000 0.3328
Rh2 0.0000 0.0000 0.5000
Rh3 0.0009 0.5004 0.0811

Summary:
DFT formation energy = -513.1 meV per atom
Final energy = -259.458 eV per cell
Total moment = 0.000 μB/cell
D(E_F) = 12.08 states/eV/f.u.


Entry 11:
Here is a relaxed structure of Tb2Nd2Rh3 from the Alexandria database. Energies are from PBE-GGA.

Unit cell a=4.4031 b=6.1024 c=7.4711 alpha=99.12 beta=90.10 gamma=111.12
Space group P-1 (No. 2)
Asymmetric unit:
Tb1 0.1366 0.2739 0.4276
Nd1 0.3657 0.7332 0.1440
Rh1 0.3035 0.6046 0.7647
Rh2 0.5000 0.0000 0.5000

Summary:
DFT formation energy = -610.0 meV per atom
Relative energy among the computed polymorphs = 0.0785 eV/atom
Final energy = -45.121 eV per cell
Total moment = 0.000 μB/cell
D(E_F) = 3.16 states/eV/f.u.


Entry 12:
Here is a relaxed structure of Tb4NdRh4 from the Alexandria database. Energies are from PBE-GGA.

Unit cell a=8.9159 b=8.9159 c=5.6442 alpha=90.00 beta=90.00 gamma=90.00
Space group P4_2/n (No. 86, origin choice 2)
Asymmetric unit:
Tb1 0.0725 0.6583 0.1656
Nd1 0.2500 0.2500 0.2500
Rh1 0.0350 0.6224 0.6625

Summary:
DFT formation energy = -636.9 meV per atom
Final energy = -116.854 eV per cell
Total moment = 0.000 μB/cell
D(E_F) = 5.90 states/eV/f.u.


Entry 13:
Here is a relaxed structure of TbNd4Rh5 from the Alexandria database. Energies are from PBE-GGA.

Unit cell a=3.5596 b=3.5596 c=17.2548 alpha=90.00 beta=90.00 gamma=90.00
Space group P4/mmm (No. 123)
Asymmetric unit:
Tb1 0.0000 0.0000 0.0000
Nd1 0.0000 0.0000 0.1970
Nd2 0.0000 0.0000 0.3989
Rh1 0.5000 0.5000 0.0944
Rh2 0.5000 0.5000 0.2976
Rh3 0.5000 0.5000 0.5000

Summary:
DFT formation energy = -668.8 meV per atom
Final energy = -67.147 eV per cell
Total moment = 0.000 μB/cell
D(E_F) = 8.05 states/eV/f.u.


Entry 14:
Here is a relaxed structure of TbNd4Rh from the Alexandria database. Energies are from PBE-GGA.

Unit cell a=6.0597 b=7.5935 c=16.5158 alpha=90.00 beta=90.00 gamma=90.00
Space group Immm (No. 71)
Asymmetric unit:
Tb1 0.0000 0.0000 0.1977
Nd1 0.0000 0.2055 0.0000
Nd2 0.0000 0.2528 0.3820
Nd3 0.0000 0.5000 0.1727
Rh1 0.2295 0.0000 0.5000

Summary:
DFT formation energy = -182.8 meV per atom
Final energy = -128.599 eV per cell
Total moment = 0.002 μB/cell
D(E_F) = 7.72 states/eV/f.u.


Entry 15:
Here is a relaxed structure of TbNd2Rh from the Alexandria database. Energies are from PBE-GGA.

Unit cell a=3.9131 b=3.9131 c=28.1024 alpha=90.00 beta=90.00 gamma=120.00
Space group R3m (No. 160, hexagonal axes)
Asymmetric unit:
Tb1 0.0000 0.0000 0.0000
Nd1 0.0000 0.0000 0.5602
Nd2 0.0000 0.0000 0.7719
Rh1 0.0000 0.0000 0.1657

Summary:
DFT formation energy = -251.2 meV per atom
Relative energy among the computed polymorphs = 0.1953 eV/atom
Final energy = -67.566 eV per cell
Total moment = 1.667 μB/cell
D(E_F) = 5.02 states/eV/f.u.


Entry 16:
Here is a relaxed structure of TbNdRh from the Alexandria database. Energies are from PBE-GGA.

Unit cell a=3.5139 b=3.5139 c=12.9288 alpha=90.00 beta=90.00 gamma=90.00
Space group I4mm (No. 107)
Asymmetric unit:
Tb1 0.0000 0.0000 0.0000
Nd1 0.0000 0.0000 0.7414
Rh1 0.0000 0.0000 0.3794

Summary:
DFT formation energy = -474.0 meV per atom
Relative energy among the computed polymorphs = 0.0439 eV/atom
Final energy = -36.343 eV per cell
Total moment = 0.000 μB/cell
D(E_F) = 3.56 states/eV/f.u.


Entry 17:
Here is a relaxed structure of TbNd3Rh2 from the Alexandria database. Energies are from PBE-GGA.

Unit cell a=16.6307 b=4.2943 c=11.2610 alpha=90.00 beta=117.76 gamma=90.00
Space group C2/m (No. 12)
Asymmetric unit:
Tb1 0.0740 0.0000 0.1670
Nd1 0.0532 0.5000 0.7197
Nd2 0.1658 0.0000 0.5281
Nd3 0.2127 0.5000 0.0967
Rh1 0.1163 0.0000 0.9196
Rh2 0.1371 0.5000 0.3418

Summary:
DFT formation energy = -510.6 meV per atom
Final energy = -146.801 eV per cell
Total moment = 0.000 μB/cell
D(E_F) = 5.18 states/eV/f.u.


Entry 18:
Here is a relaxed structure of Tb4NdRh5 from the Alexandria database. Energies are from PBE-GGA.

Unit cell a=3.4323 b=3.4323 c=17.6119 alpha=90.00 beta=90.00 gamma=90.00
Space group P4/mmm (No. 123)
Asymmetric unit:
Tb1 0.0000 0.0000 0.0988
Tb2 0.0000 0.0000 0.2966
Nd1 0.0000 0.0000 0.5000
Rh1 0.5000 0.5000 0.0000
Rh2 0.5000 0.5000 0.1974
Rh3 0.5000 0.5000 0.3932

Summary:
DFT formation energy = -791.9 meV per atom
Final energy = -67.965 eV per cell
Total moment = 0.000 μB/cell
D(E_F) = 7.55 states/eV/f.u.


Entry 19:
Here is a relaxed structure of TbNd2Rh from the Alexandria database. Energies are from PBE-GGA.

Unit cell a=3.7303 b=3.7303 c=31.9693 alpha=90.00 beta=90.00 gamma=120.00
Space group R-3m (No. 166, hexagonal axes)
Asymmetric unit:
Tb1 0.0000 0.0000 0.0000
Nd1 0.0000 0.0000 0.1098
Rh1 0.0000 0.0000 0.5000

Summary:
DFT formation energy = -66.8 meV per atom
Relative energy among the computed polymorphs = 0.3796 eV/atom
Final energy = -65.354 eV per cell
Total moment = 0.451 μB/cell
D(E_F) = 6.13 states/eV/f.u.


Entry 20:
Here is a relaxed structure of TbNdRh from the Alexandria database. Energies are from PBE-GGA.

Unit cell a=6.9203 b=6.9203 c=6.9203 alpha=90.00 beta=90.00 gamma=90.00
Space group F-43m (No. 216)
Asymmetric unit:
Tb1 0.0000 0.0000 0.0000
Nd1 0.0000 0.0000 0.5000
Rh1 0.2500 0.2500 0.7500

Summary:
DFT formation energy = -498.3 meV per atom
Relative energy among the computed polymorphs = 0.0196 eV/atom
Final energy = -72.978 eV per cell
Total moment = 0.000 μB/cell
D(E_F) = 3.24 states/eV/f.u.


Entry 21:
Here is a relaxed structure of Tb3NdRh3 from the Alexandria database. Energies are from PBE-GGA.

Unit cell a=8.6171 b=8.6171 c=16.4520 alpha=90.00 beta=90.00 gamma=120.00
Space group R-3 (No. 148, hexagonal axes)
Asymmetric unit:
Tb1 0.0153 0.2728 0.1004
Nd1 0.0000 0.0000 0.3265
Rh1 0.0063 0.3700 0.9363

Summary:
DFT formation energy = -663.6 meV per atom
Final energy = -272.150 eV per cell
Total moment = 0.000 μB/cell
D(E_F) = 3.67 states/eV/f.u.


Entry 22:
Here is a relaxed structure of Tb5NdRh6 from the Alexandria database. Energies are from PBE-GGA.

Unit cell a=4.8914 b=6.9084 c=7.7405 alpha=90.00 beta=108.36 gamma=90.00
Space group P2/m (No. 10)
Asymmetric unit:
Tb1 0.0000 0.0000 0.0000
Tb2 0.3324 0.5000 0.6648
Tb3 0.3332 0.0000 0.6662
Nd1 0.0000 0.5000 0.0000
Rh1 0.1685 0.2477 0.3374
Rh2 0.5000 0.2439 0.0000

Summary:
DFT formation energy = -805.0 meV per atom
Final energy = -81.688 eV per cell
Total moment = 0.000 μB/cell
D(E_F) = 7.66 states/eV/f.u.


Entry 23:
Here is a relaxed structure of TbNdRh4 from the Alexandria database. Energies are from PBE-GGA.

Unit cell a=7.6131 b=7.6131 c=7.6131 alpha=90.00 beta=90.00 gamma=90.00
Space group F-43m (No. 216)
Asymmetric unit:
Tb1 0.0000 0.0000 0.0000
Nd1 0.2500 0.2500 0.7500
Rh1 0.1252 0.1252 0.3748

Summary:
DFT formation energy = -691.1 meV per atom
Final energy = -171.803 eV per cell
Total moment = 0.000 μB/cell
D(E_F) = 3.83 states/eV/f.u.